(1)
{
  "formula": "NdYEr14",
  "functional": "PBE",
  "state": "relaxed",
  "energy_ev_per_atom": -4.686,
  "crystal_system": "orthorhombic",
  "dos_ef_per_ev_fu": 21.430,
  "ef_ev_per_atom": 0.01,
  "lattice_angstrom": [[-0.8770, -4.5580, -5.3465], [3.8979, -1.8415, 5.6165], [-9.2894, -4.1708, 5.0794]],
  "species": ["Nd", "Y", "Er", "Er", "Er", "Er", "Er", "Er", "Er", "Er", "Er", "Er", "Er", "Er", "Er", "Er"],
  "fractional_positions": [[0.7077, 0.2923, 0.5000], [0.2081, 0.7919, 0.5000], [0.0418, 0.9582, 0.0000], [0.5417, 0.4583, 0.0000], [0.2084, 0.2921, 0.5000], [0.0421, 0.4580, 0.0000], [0.7079, 0.7916, 0.5000], [0.5420, 0.9579, 0.0000], [0.3747, 0.1252, 0.7530], [0.3747, 0.1252, 0.2470], [0.8748, 0.6253, 0.7530], [0.8748, 0.6253, 0.2470], [0.3753, 0.6247, 0.7510], [0.3753, 0.6247, 0.2490], [0.8754, 0.1246, 0.7518], [0.8754, 0.1246, 0.2482]]
}

(2)
{
  "formula": "MgNbP2S",
  "functional": "PBE",
  "state": "relaxed",
  "energy_ev_per_atom": -5.299,
  "crystal_system": "tetragonal",
  "e_above_lowest_polymorph_mev_per_atom": 0.0,
  "raw_formation_energy_ev_per_fu": 0.12,
  "dos_ef_per_ev_fu": 3.664,
  "lattice_angstrom": [[4.8828, 0.0000, 0.0000], [0.0000, 4.8828, 0.0000], [0.0000, 0.0000, 4.7340]],
  "species": ["Mg", "P", "P", "Nb", "S"],
  "fractional_positions": [[0.5000, 0.5000, 0.5000], [0.0000, 0.5000, 0.0000], [0.5000, 0.0000, 0.0000], [0.0000, 0.0000, 0.0000], [0.0000, 0.0000, 0.5000]]
}

(3)
{
  "formula": "Sc3AlS",
  "functional": "PBE",
  "state": "relaxed",
  "energy_ev_per_atom": -6.283,
  "crystal_system": "monoclinic",
  "e_above_lowest_polymorph_mev_per_atom": 0.0,
  "raw_formation_energy_ev_per_fu": -4.55,
  "dos_ef_per_ev_fu": 5.157,
  "lattice_angstrom": [[3.5941, 0.0000, 0.0000], [1.7970, 6.9071, 0.5908], [0.0000, -0.0078, 8.3186]],
  "species": ["Sc", "Sc", "Sc", "Sc", "Sc", "Sc", "Al", "Al", "S", "S"],
  "fractional_positions": [[0.0766, 0.2025, 0.5801], [0.7957, 0.7645, 0.6437], [0.6723, 0.0113, 0.2520], [0.2872, 0.7813, 0.9699], [0.4106, 0.5345, 0.3616], [0.0062, 0.3433, 0.0335], [0.6331, 0.0896, 0.8650], [0.4498, 0.4562, 0.7486], [0.2347, 0.8864, 0.4496], [0.8482, 0.6594, 0.1640]]
}

Number 1: calculated volume 30.9 A^3/atom. Number 2: calculated volume 22.6 A^3/atom. Number 3: calculated volume 20.7 A^3/atom.